(1)
12
Lattice="6.049 0.000 0.000 -3.024 5.238 0.000 0.000 0.000 9.078" Properties=species:S:1:pos:R:3 comment="Ac3GaPd6Pb2 | Alexandria | PBE | optimized geometry" formation_enthalpy_0k_mev_per_atom=-710 total_magnetization_mub_per_atom=0.0000 e_tot_ev_per_atom=-5.20 space_group="P-3m1 (164)" pbc="T T T"
Pd -1.458 4.334 2.745
Pd 1.566 0.904 6.333
Pd 1.458 4.334 2.745
Pd 3.024 3.430 6.333
Pd 0.000 1.808 2.745
Pd 4.483 0.904 6.333
Pb 3.024 1.746 8.707
Pb 0.000 3.492 0.372
Ga 0.000 0.000 4.539
Ac 0.000 3.492 5.799
Ac 0.000 0.000 0.000
Ac 3.024 1.746 3.280

---

(2)
12
Lattice="-4.572 -3.019 -4.917 -1.182 -4.366 3.780 -4.208 5.553 0.502" Properties=species:S:1:pos:R:3 comment="AcGaPd3Pb | Alexandria | PBE | optimized geometry" formation_enthalpy_0k_mev_per_atom=-551 total_magnetization_mub_per_atom=0.0000 e_tot_ev_per_atom=-4.95 space_group="Cmcm (63)" pbc="T T T"
Ga -6.009 0.065 2.791
Ga -3.952 -1.897 -3.427
Pb -5.315 -3.538 -1.153
Pb -4.647 1.706 0.517
Pd -0.303 -1.120 0.969
Pd -0.879 -3.246 2.810
Pd -2.589 -2.629 -1.489
Pd -2.576 0.252 -0.515
Pd -7.385 -2.083 -0.121
Pd -3.165 -4.755 0.352
Ac -6.493 -0.112 -2.161
Ac -3.469 -1.719 1.525